Model w:
ZrGeS3, optimized geometry, DFT PBE-GGA; total magnetization = 0.00 Bohr magnetons per cell; space-group type = Cmc2_1, No. 36
1.0
4.0375 0.0000 0.0000
0.0000 6.5241 0.0000
-2.0188 0.0000 10.2170
Zr Ge S
2 2 6
Direct
0.8898 0.9373 0.7796 Zr
0.1102 0.4373 0.2204 Zr
0.3297 0.5187 0.6593 Ge
0.6703 0.0187 0.3407 Ge
0.8789 0.2994 0.7577 S
0.1211 0.7994 0.2423 S
0.5645 0.2667 0.1290 S
0.4355 0.7667 0.8710 S
0.7855 0.7720 0.5711 S
0.2145 0.2720 0.4289 S

Model x:
ZrGeS3, optimized geometry, DFT PBE-GGA; total magnetization = 0.00 Bohr magnetons per cell; space-group type = Pnma, No. 62
1.0
3.6733 0.0000 0.0000
0.0000 9.6062 0.0000
0.0000 0.0000 14.4131
Zr Ge S
4 4 12
Direct
0.2500 0.8466 0.5480 Zr
0.7500 0.6534 0.0480 Zr
0.7500 0.1534 0.4520 Zr
0.2500 0.3466 0.9520 Zr
0.7500 0.5701 0.6418 Ge
0.2500 0.9299 0.1418 Ge
0.2500 0.4299 0.3582 Ge
0.7500 0.0701 0.8582 Ge
0.2500 0.7150 0.7015 S
0.7500 0.7850 0.2015 S
0.7500 0.2850 0.2985 S
0.2500 0.2150 0.7985 S
0.7500 0.0119 0.6065 S
0.2500 0.4881 0.1065 S
0.2500 0.9881 0.3935 S
0.7500 0.5119 0.8935 S
0.7500 0.6781 0.4885 S
0.2500 0.8219 0.9885 S
0.2500 0.3219 0.5115 S
0.7500 0.1781 0.0115 S

Stability ranking, top and bottom: model x is the most stable and model w is the least stable.

Model w:
Ge3Sb, optimized geometry, DFT PBE-GGA; total magnetization = 0.00 Bohr magnetons per cell; space-group type = Pmm2, No. 25
1.0
4.3079 0.0000 0.0000
0.0000 4.6152 0.0000
0.0000 0.0000 4.7251
Sb Ge
1 3
Direct
0.5000 0.0000 0.7183 Sb
0.0000 0.0000 0.1122 Ge
0.0000 0.5000 0.4235 Ge
0.5000 0.5000 0.0794 Ge

Model x:
Ge3Sb, optimized geometry, DFT PBE-GGA; total magnetization = 0.00 Bohr magnetons per cell; space-group type = Fm-3m, No. 225
1.0
-3.1027 -3.8485 0.0159
1.4055 -4.2999 1.9933
-2.0157 -1.5324 4.2458
Ge Sb
3 1
Direct
0.2500 0.2500 0.2500 Ge
0.7500 0.7500 0.7500 Ge
0.5000 0.5000 0.5000 Ge
0.0000 0.0000 0.0000 Sb

Stability ranking, top and bottom: model w is the most stable and model x is the least stable.